KTl2GaCo: relaxed, PBE.

Energy: -0.2330 Ry per atom
DOS(E_F): 3.08 states/eV/f.u.

abc: 5.1745 5.1745 4.7599
angles: 90.00 90.00 90.00
Last column: nearest neighbours and their distance in Å.
Fractional coordinates of all 5 atoms:
Tl 0.5000 0.0000 0.0000  2 Co 2.59
Tl 0.0000 0.5000 0.0000  2 Co 2.59
Ga 0.0000 0.0000 0.5000  2 Co 2.38
K 0.5000 0.5000 0.5000  8 Tl 3.52, 4 Ga 3.66
Co 0.0000 0.0000 0.0000  2 Ga 2.38, 4 Tl 2.59